## i
Here is LaPtPb2 after structural relaxation from Alexandria via LeMat-Bulk. Energies are from PBE.

## Properties
Calculated volume ... 112.1 Å³/cell
Crystal system ... orthorhombic

Lattice parameters (Å, degrees): 4.6890 4.9852 4.9846 74.23 90.00 90.00
Last column: nearest neighbours and their distance in Å.
Sites, in units of the cell vectors:
Pt 0.5000 0.2500 0.2500  4 Pb 2.83, 2 La 3.01
Pb 0.0000 0.4485 0.4485  2 Pt 2.83, 3 Pb 3.12-3.16
La 0.5000 0.7500 0.7500  2 Pt 3.01, 4 Pb 3.35
Pb 0.0000 0.0515 0.0515  2 Pt 2.83, 3 Pb 3.12-3.16


## ii
Here is LaPtPb2 after structural relaxation from Alexandria via LeMat-Bulk. Energies are from PBE.

## Properties
Calculated volume ... 118.0 Å³/cell
Crystal system ... trigonal

Lattice parameters (Å, degrees): 6.9022 6.9022 6.9022 39.16 39.16 39.16
Last column: nearest neighbours and their distance in Å.
Sites, in units of the cell vectors:
Pt 0.5080 0.5080 0.5080  3 Pb 2.90, 3 La 2.99
Pb 0.2335 0.2335 0.2335  3 Pt 2.90, 3 Pb 3.14
Pb 0.9869 0.9869 0.9869  3 Pb 3.14, 3 La 3.49
La 0.7715 0.7715 0.7715  3 Pt 2.99


It is i that is most stable; the runner-up trails by 0.135 eV/atom.